Pr3Sn3IrPt2 | PBE | relaxed Values from VASP.

The structure in Quantum ESPRESSO input format:
```
&SYSTEM
  ibrav = 0, nat = 9, ntyp = 4
/
ATOMIC_SPECIES
Ir 192.22 Ir.upf
Pr 140.91 Pr.upf
Pt 195.08 Pt.upf
Sn 118.71 Sn.upf
CELL_PARAMETERS angstrom
-7.302 -0.522 -2.190
5.393 -3.941 -3.711
-0.551 -3.202 2.601
ATOMIC_POSITIONS crystal
Ir 0.000 0.000 0.000
Pr 0.590 0.000 0.000
Pr 0.410 0.410 0.000
Pr 0.000 0.590 0.000
Pt 0.667 0.333 0.500
Pt 0.333 0.667 0.500
Sn 0.249 0.000 0.500
Sn 0.000 0.249 0.500
Sn 0.751 0.751 0.500
```

total magnetic moment = 0.0 Bohr magnetons per cell
SG = P-62m, No. 189
electronic total energy = -6.238 eV per atom